DFT (meta-GGA SCAN) results for a PBEsol-optimized structure of VCuHPbO5.

POSCAR file:
```
VCuHPbO5
1.0
6.026 0.000 0.000
0.000 7.640 0.000
0.000 0.000 9.131
O H Cu V Pb
20 4 4 4 4
Cartesian
1.507 6.023 5.350
4.520 2.743 8.578
6.006 2.990 1.815
1.507 2.203 8.346
4.520 0.474 0.743
0.020 0.830 6.380
2.993 4.650 7.316
1.507 7.166 8.387
4.520 1.617 3.780
3.033 2.990 1.815
1.507 1.077 4.012
6.006 6.810 2.751
1.507 3.346 5.309
4.520 6.563 5.118
0.020 4.650 7.316
4.520 4.294 3.822
1.507 4.896 0.553
2.993 0.830 6.380
3.033 6.810 2.751
4.520 5.437 0.785
4.520 1.867 9.098
4.520 5.687 4.599
1.507 1.953 4.532
1.507 5.773 0.033
3.013 0.000 4.565
0.000 0.000 4.565
0.000 3.820 0.000
3.013 3.820 0.000
1.507 0.851 7.332
4.520 6.789 1.799
4.520 2.969 2.766
1.507 4.671 6.364
1.507 4.862 3.008
1.507 1.042 1.557
4.520 6.598 7.574
4.520 2.778 6.123
```

uncorrected energy	-17.60	eV/atom
symmetry	No. 62